(1)
Here is a geometry-optimized TaAuSe structure from Alexandria. Energies are from GGA-PBE.

Unit cell a=6.332 b=6.332 c=6.332 alpha=90.00 beta=90.00 gamma=90.00
Space group F-43m (No. 216)
Inequivalent atoms, fractional coordinates:
Ta1 0.000 0.000 0.000 x4
Au1 0.250 0.250 0.250 x4
Se1 0.250 0.250 0.750 x4

E_tot, eV per atom: -6.034
DOS(E_F), states/eV/atom: 1.183
Raw formation energy, meV per atom: 171
Excess energy over the best structure of this formula in the dataset, meV/atom: 423



(2)
Here is a geometry-optimized TaTcAu2Se structure from Alexandria. Energies are from GGA-PBE.

Unit cell a=5.133 b=5.133 c=4.733 alpha=90.00 beta=90.00 gamma=90.00
Space group P4/mmm (No. 123)
Inequivalent atoms, fractional coordinates:
Ta1 0.000 0.000 0.000 x1
Tc1 0.000 0.000 0.500 x1
Au1 0.000 0.500 0.000 x2
Se1 0.500 0.500 0.500 x1

E_tot, eV per atom: -5.136
DOS(E_F), states/eV/atom: 0.841
Raw formation energy, meV per atom: 1315



(3)
Here is a geometry-optimized TaWAuSe2 structure from Alexandria. Energies are from GGA-PBE.

Unit cell a=4.917 b=4.917 c=5.071 alpha=90.00 beta=90.00 gamma=90.00
Space group P4/mmm (No. 123)
Inequivalent atoms, fractional coordinates:
Ta1 0.000 0.000 0.000 x1
W1 0.500 0.500 0.000 x1
Au1 0.000 0.000 0.500 x1
Se1 0.000 0.500 0.500 x2

E_tot, eV per atom: -5.079
DOS(E_F), states/eV/atom: 0.904
Raw formation energy, meV per atom: 1932